Cr2CdRh (PBE, optimized geometry); ΔH_f (0 K) = 233 meV per atom
1.0
5.172 -0.005 -0.042
2.294 4.635 0.042
-3.148 -3.258 2.495
Cd Cr Rh
1 2 1
Direct
0.244 0.744 0.500 Cd
0.971 0.971 0.000 Cr
0.766 0.266 0.500 Cr
0.518 0.518 0.000 Rh

***

Pa2InP (PBE, optimized geometry); ΔH_f (0 K) = -493 meV per atom
1.0
3.356 0.000 0.000
0.000 3.356 0.000
0.000 0.000 8.047
In Pa P
1 2 1
Direct
0.500 0.500 0.500 In
0.000 0.000 0.207 Pa
0.000 0.000 0.793 Pa
0.500 0.500 0.000 P

***

Ho4Tm3PaAs8 (PBE, optimized geometry); ΔH_f (0 K) = -1467 meV per atom
1.0
-2.219 -1.529 7.701
7.046 -3.928 1.250
0.046 7.668 -2.786
Tm As Ho Pa
3 8 4 1
Direct
0.000 0.500 0.500 Tm
0.500 0.500 0.000 Tm
0.500 0.500 0.500 Tm
0.752 0.253 0.002 As
0.752 0.253 0.503 As
0.251 0.252 0.502 As
0.248 0.747 0.497 As
0.250 0.253 0.002 As
0.248 0.747 0.998 As
0.750 0.747 0.998 As
0.749 0.748 0.498 As
0.500 0.000 0.000 Ho
0.000 0.000 0.000 Ho
0.000 0.000 0.500 Ho
0.500 0.000 0.500 Ho
0.000 0.500 0.000 Pa

***

YMg2Sc (PBE, optimized geometry); ΔH_f (0 K) = -4 meV per atom
1.0
-4.410 -3.709 -2.455
0.636 -6.192 0.697
-0.627 5.568 2.800
Mg Sc Y
2 1 1
Direct
0.760 0.260 0.500 Mg
0.983 0.983 0.000 Mg
0.513 0.513 0.000 Sc
0.244 0.744 0.500 Y

***

Li2ErCd2 (PBE, optimized geometry); ΔH_f (0 K) = -191 meV per atom
1.0
3.161 0.000 0.000
0.000 8.099 0.000
0.000 0.000 8.099
Li Cd Er
4 4 2
Direct
0.000 0.383 0.883 Li
0.000 0.883 0.617 Li
0.000 0.617 0.117 Li
0.000 0.117 0.383 Li
0.500 0.182 0.682 Cd
0.500 0.318 0.182 Cd
0.500 0.818 0.318 Cd
0.500 0.682 0.818 Cd
0.000 0.500 0.500 Er
0.000 0.000 0.000 Er

***

Li5Zn2Hg4 (PBE, optimized geometry); ΔH_f (0 K) = -272 meV per atom
1.0
-1.325 -0.606 -2.960
6.313 -3.109 -2.190
-5.250 -14.389 5.294
Li Hg Zn
10 8 4
Direct
0.000 0.219 0.797 Li
0.000 0.781 0.203 Li
0.000 0.115 0.573 Li
0.000 0.281 0.297 Li
0.000 0.385 0.073 Li
0.000 0.885 0.427 Li
0.000 0.719 0.703 Li
0.000 0.615 0.927 Li
0.000 0.500 0.500 Li
0.000 0.000 0.000 Li
0.500 0.288 0.939 Hg
0.500 0.608 0.354 Hg
0.500 0.108 0.146 Hg
0.500 0.712 0.061 Hg
0.500 0.212 0.439 Hg
0.500 0.788 0.561 Hg
0.500 0.392 0.646 Hg
0.500 0.892 0.854 Hg
0.500 0.477 0.196 Zn
0.500 0.977 0.304 Zn
0.500 0.023 0.696 Zn
0.500 0.523 0.804 Zn

***

Np3Ge4Ru2 (PBE, optimized geometry); ΔH_f (0 K) = -248 meV per atom
1.0
-2.261 -4.752 -2.346
1.419 -3.596 -4.272
3.723 -6.665 3.116
Np Ge Ru
3 4 2
Direct
0.000 0.000 0.000 Np
0.366 0.366 0.678 Np
0.634 0.634 0.322 Np
0.288 0.288 0.067 Ge
0.080 0.080 0.613 Ge
0.920 0.920 0.387 Ge
0.712 0.712 0.933 Ge
0.689 0.689 0.640 Ru
0.311 0.311 0.360 Ru

***

Cs3Nd2RhO6 (PBE, optimized geometry); formation energy from raw total energies = -22.3 eV per formula unit
1.0
6.177 0.001 0.004
-3.086 5.351 0.004
-1.027 -1.778 6.819
Rh Nd O Cs
1 2 6 3
Direct
0.000 0.000 0.000 Rh
0.333 0.667 0.000 Nd
0.667 0.333 0.000 Nd
0.365 0.055 0.166 O
0.055 0.365 0.166 O
0.745 0.745 0.168 O
0.945 0.635 0.834 O
0.635 0.945 0.834 O
0.255 0.255 0.832 O
0.163 0.837 0.500 Cs
0.500 0.500 0.500 Cs
0.837 0.163 0.500 Cs

***

The following calculated total energy values (in eV/atom) correspond, in order, to the records above: -6.65; -7.28; -6.37; -4.00; -2.24; -1.48; -8.68; -5.96.
The following ρ values (in g/cm³) correspond, in order, to the records above: 8.803; 11.135; 8.628; 2.952; 6.504; 8.157; 11.286; 6.524.